A plane-wave DFT calculation with PBE was carried out for a relaxed Sm2Ni4P3Pt crystal.

Geometry as extended XYZ:
```
10
Lattice="-3.4640 -1.4975 1.1778 0.2747 -2.8110 -2.7662 4.6668 -5.7972 6.3545" Properties=species:S:1:pos:R:3 pbc="T T T"
Sm 3.6621 -5.7840 3.4163
Sm -0.5899 -2.1675 2.1440
P 2.3334 -2.8986 3.1773
P 2.3549 -5.8256 6.1537
P 0.7173 -2.1259 -0.5934
Ni 1.7695 -3.4330 0.8393
Ni 1.3027 -4.5185 4.7210
Ni 0.0000 0.0000 0.0000
Ni -1.5946 -2.1543 -0.7942
Pt 0.7388 -5.0529 2.3830
```

**DFT total energy**: -6.346 eV/atom

---

A plane-wave DFT calculation with PBE was carried out for a relaxed SmNi2PPt2 crystal.

Geometry as extended XYZ:
```
6
Lattice="4.2872 0.0000 0.0000 0.0000 4.2872 0.0000 0.0000 0.0000 5.5729" Properties=species:S:1:pos:R:3 pbc="T T T"
P 0.0000 0.0000 0.0000
Ni 2.1436 0.0000 0.0000
Ni 0.0000 2.1436 0.0000
Sm 0.0000 0.0000 2.7864
Pt 2.1436 2.1436 4.0894
Pt 2.1436 2.1436 1.4835
```

**DFT total energy**: -6.136 eV/atom

---

A plane-wave DFT calculation with PBE was carried out for a relaxed Sm2Ni12P3Pt crystal.

Geometry as extended XYZ:
```
18
Lattice="0.1797 1.9882 -6.9238 -5.4267 -2.3218 -4.1333 -4.8203 4.9577 -2.0272" Properties=species:S:1:pos:R:3 pbc="T T T"
Ni -3.3455 2.6869 -8.3237
Ni -3.6274 2.9893 -2.6709
Ni -3.9198 -0.5213 -3.6865
Ni -6.1228 4.3363 -5.6038
Ni -1.2162 1.5572 -5.0322
Ni -6.7218 1.9372 -4.7606
Ni -6.4399 1.6349 -10.4134
Ni -6.4597 0.2928 -6.7737
Ni -3.9445 0.2878 -7.4804
Ni -8.8512 3.0669 -8.0520
Ni -3.6077 4.3313 -6.3106
Ni -6.1475 5.1454 -9.3977
Pt 0.0000 0.0000 0.0000
P -2.7133 -1.1609 -2.0667
P -2.4102 2.4788 -1.0136
P 0.0898 0.9941 -3.4619
Sm -3.9437 1.8114 -5.1255
Sm -6.1237 2.8127 -7.9588
```

**DFT total energy**: -5.633 eV/atom

---

A plane-wave DFT calculation with PBE was carried out for a relaxed Ni2SnPPt crystal.

Geometry as extended XYZ:
```
5
Lattice="4.8063 0.0000 0.0000 0.0000 4.3310 0.0000 0.0000 0.0000 4.8063" Properties=species:S:1:pos:R:3 pbc="T T T"
Sn 2.4032 2.1655 2.4032
P 0.0000 2.1655 0.0000
Ni 2.4032 0.0000 0.0000
Ni 0.0000 0.0000 2.4032
Pt 0.0000 0.0000 0.0000
```

**DFT total energy**: -4.849 eV/atom

---

A plane-wave DFT calculation with PBE was carried out for a relaxed SrNiPPt crystal.

Geometry as extended XYZ:
```
8
Lattice="3.8376 0.0000 0.0000 0.0000 3.8376 0.0000 0.0000 0.0000 10.6407" Properties=species:S:1:pos:R:3 pbc="T T T"
Sr 2.8782 2.8782 2.8144
Sr 0.9594 0.9594 7.8262
P 2.8782 2.8782 9.4632
P 0.9594 0.9594 1.1774
Ni 2.8782 0.9594 0.0000
Ni 0.9594 2.8782 0.0000
Pt 0.9594 2.8782 5.3203
Pt 2.8782 0.9594 5.3203
```

**DFT total energy**: -5.424 eV/atom

---

A plane-wave DFT calculation with PBE was carried out for a relaxed Tb2Ni3P4Pt crystal.

Geometry as extended XYZ:
```
10
Lattice="-3.6947 1.5681 -0.6475 -1.4340 -2.0575 3.1999 2.0443 7.0726 5.4637" Properties=species:S:1:pos:R:3 pbc="T T T"
Ni -0.4860 -0.2295 2.2173
Ni 1.0222 3.5363 2.7319
Ni -0.0340 7.0575 4.5226
P -0.5368 5.3181 3.1789
P 0.0000 0.0000 0.0000
P -2.5643 -0.2447 1.2762
P 0.0168 1.5098 3.5610
Pt -1.5422 3.2916 4.0081
Tb 0.8368 4.3468 5.7527
Tb -1.3568 2.4811 0.9873
```

**DFT total energy**: -6.410 eV/atom

---

A plane-wave DFT calculation with PBE was carried out for a relaxed Tb2Ni12P3Pt crystal.

Geometry as extended XYZ:
```
18
Lattice="-3.0642 -6.4072 -0.4230 3.3456 -4.7084 -4.1543 3.3864 -5.2291 3.4365" Properties=species:S:1:pos:R:3 pbc="T T T"
P 1.6932 -2.6146 1.7182
P -1.5321 -3.2036 -0.2115
P 1.6728 -2.3542 -2.0772
Ni 3.1099 -8.2176 -2.6894
Ni 0.5578 -8.1271 1.5485
Ni 2.0857 -4.4292 -2.1339
Ni 2.1051 -4.6776 1.4867
Ni 3.1325 -8.5056 1.5087
Ni 4.1027 -7.1876 -0.5151
Ni 0.5352 -7.8392 -2.6496
Ni -0.4350 -9.1571 -0.6258
Ni 1.5820 -11.9155 0.9930
Ni -0.9715 -5.2395 -0.3542
Ni 1.5626 -11.6671 -2.6276
Ni 4.6393 -11.1052 -0.7867
Tb 1.4463 -6.4451 -0.4499
Tb 2.2215 -9.8997 -0.6910
Pt 0.0000 0.0000 0.0000
```

**DFT total energy**: -5.626 eV/atom

---

A plane-wave DFT calculation with PBE was carried out for a relaxed Th2Ni3P4Pt crystal.

Geometry as extended XYZ:
```
10
Lattice="-3.9821 0.8799 0.8639 -1.1901 -1.9778 -3.4713 -0.7112 -7.8476 4.7149" Properties=species:S:1:pos:R:3 pbc="T T T"
Ni -0.3556 -3.9238 2.3575
Ni -0.6729 -1.8482 -1.2193
Ni -2.6244 -6.5483 4.6306
P -0.8509 -3.8116 -0.0397
P 0.0000 0.0000 0.0000
P -2.5861 -0.5489 -1.3037
P -2.4464 -4.5849 3.4509
Pt -2.9417 -4.4727 1.0537
Th -2.1636 -1.4639 1.5758
Th -1.1337 -6.9326 1.8354
```

**DFT total energy**: -6.988 eV/atom

---

no.,total magnetization (μB per cell)
1,0.000
2,0.000
3,0.000
4,1.095
5,0.000
6,0.000
7,0.000
8,0.000